## PmZn4In (PBE)

Data for crystalline PmZn4In at its relaxed geometry.

Computed properties:
ΔE to the lowest computed polymorph: 120.3 meV per atom
Uncorrected energy: -2.2455 eV/atom
Fermi-level density of states: 14.3 states/eV/cell
DFT formation energy: -0.148 eV per atom

abc: 7.7926 7.7926 7.7926
angles: 90.00 90.00 90.00
Closest atoms and distances in Å follow each position.
Space group F-43m (No. 216)
Unique sites:
Pm  0.0000  0.0000  0.0000 [4 per cell]  12 Zn 3.23, 4 In 3.37
Zn  0.1253  0.1253  0.3747 [16 per cell]  6 Zn 2.75-2.76
In  0.2500  0.2500  0.7500 [4 per cell]  12 Zn 3.23, 4 Pm 3.37